Entry 1:
Material: YBeCu3
Method: DFT, PBE
State: optimized geometry

Results
**E**: -4.61 eV per atom
**Size of the total moment**: 0.00 μB/f.u.
**Calculated density**: 6.42 g/cm³
**N(E_F)**: 4.70 states/eV/cell
**Calculated volume**: 149.3 Å³/cell
**Symmetry**: P6_3/mmc, No. 194
**ΔH_f (0 K)**: -2.53 kcal/mol of atoms

Cell: 4.9243 5.9173 5.9170 Å, 120.01 90.00 90.00°
With the nearest neighbours (Å) after each atom.
Sites, in units of the cell vectors:
Y (0.7500, 0.6668, 0.3334)  12 Cu 2.89-2.97
Y (0.2500, 0.3332, 0.6666)  12 Cu 2.89-2.97
Be (0.0000, 0.0000, 0.0000)  6 Cu 2.27, 2 Be 2.46
Be (0.5000, 0.0000, 0.0000)  6 Cu 2.27, 2 Be 2.46
Cu (0.7500, 0.6280, 0.8140)  2 Be 2.27
Cu (0.2500, 0.8139, 0.6280)  2 Be 2.27
Cu (0.2500, 0.3720, 0.1860)  2 Be 2.27
Cu (0.7500, 0.1861, 0.3720)  2 Be 2.27
Cu (0.2500, 0.8138, 0.1858)  2 Be 2.27
Cu (0.7500, 0.1862, 0.8142)  2 Be 2.27

---

Entry 2:
Material: PbI3Cl
Method: DFT, PBE
State: optimized geometry

Results
**E**: -1.98 eV per atom
**Size of the total moment**: 1.68 μB/f.u.
**Calculated density**: 4.35 g/cm³
**N(E_F)**: 15.35 states/eV/cell
**Calculated volume**: 238.1 Å³/cell
**Symmetry**: Pm-3m, No. 221

Cell: 6.1981 6.1981 6.1981 Å, 90.00 90.00 90.00°
With the nearest neighbours (Å) after each atom.
Sites, in units of the cell vectors:
Pb (0.0000, 0.0000, 0.0000)  6 I 3.10
I (0.0000, 0.5000, 0.0000)  2 Pb 3.10
I (0.0000, 0.0000, 0.5000)  2 Pb 3.10
I (0.5000, 0.0000, 0.0000)  2 Pb 3.10
Cl (0.5000, 0.5000, 0.5000)  12 I 4.38

---

Entry 3:
Material: Cs3Tb3GeO8
Method: DFT, PBE
State: optimized geometry

Results
**E**: -6.43 eV per atom
**Size of the total moment**: 0.00 μB/f.u.
**Calculated density**: 6.28 g/cm³
**N(E_F)**: 0.00 states/eV/cell
**Calculated volume**: 284.5 Å³/cell
**Symmetry**: R-3m, No. 166

Cell: 6.8695 6.8697 8.0133 Å, 115.40 90.00 120.00°
With the nearest neighbours (Å) after each atom.
Sites, in units of the cell vectors:
Cs (0.0000, 0.0000, 0.0000)  6 O 3.07-3.09
Cs (0.0000, 0.5000, 0.0000)  6 O 3.06-3.09
Cs (0.5000, 0.5000, 0.0000)  6 O 3.06-3.09
Tb (0.5000, 0.0000, 0.5000)  6 O 2.27-2.36
Tb (0.5000, 0.5000, 0.5000)  6 O 2.27-2.36
Tb (0.0000, 0.5000, 0.5000)  6 O 2.27-2.36
Ge (0.0000, 0.0000, 0.5000)  6 O 2.04
O (0.2803, 0.5606, 0.3410)  3 Tb 2.27
O (0.7197, 0.4394, 0.6590)  3 Tb 2.27
O (0.8027, 0.6055, 0.3484)  1 Ge 2.04
O (0.1973, 0.3945, 0.6516)  1 Ge 2.04
O (0.8027, 0.0455, 0.3483)  1 Ge 2.04
O (0.1973, 0.9545, 0.6517)  1 Ge 2.04
O (0.2427, 0.0455, 0.3483)  1 Ge 2.04
O (0.7573, 0.9545, 0.6517)  1 Ge 2.04

---

Entry 4:
Material: Cd8HgSb6
Method: DFT, PBE
State: optimized geometry

Results
**E**: -2.14 eV per atom
**Size of the total moment**: 0.00 μB/f.u.
**Calculated density**: 7.19 g/cm³
**N(E_F)**: 4.83 states/eV/cell
**Calculated volume**: 422.7 Å³/cell
**Symmetry**: R-3, No. 148

Cell: 7.9626 7.9626 8.9658 Å, 63.64 63.64 60.00°
With the nearest neighbours (Å) after each atom.
Sites, in units of the cell vectors:
Cd (0.7976, 0.4583, 0.6120)  4 Sb 2.95-3.03, 3 Cd 3.16-3.17
Cd (0.8678, 0.2024, 0.3880)  4 Sb 2.95-3.03, 3 Cd 3.16-3.17
Cd (0.5417, 0.8678, 0.3880)  4 Sb 2.95-3.03, 3 Cd 3.16-3.17
Cd (0.3342, 0.3342, 0.9974)  6 Sb 3.12-3.14
Cd (0.6658, 0.6658, 0.0026)  6 Sb 3.12-3.14
Cd (0.4583, 0.1322, 0.6120)  4 Sb 2.95-3.03, 3 Cd 3.16-3.17
Cd (0.1322, 0.7976, 0.6120)  4 Sb 2.95-3.03, 3 Cd 3.16-3.17
Cd (0.2024, 0.5417, 0.3880)  4 Sb 2.95-3.03, 3 Cd 3.16-3.17
Hg (0.0000, 0.0000, 0.0000)  6 Sb 3.17
Sb (0.9306, 0.5880, 0.2186)  6 Cd 2.95-3.14, 1 Hg 3.17
Sb (0.7373, 0.0694, 0.7814)  6 Cd 2.95-3.14, 1 Hg 3.17
Sb (0.4120, 0.7373, 0.7814)  6 Cd 2.95-3.14, 1 Hg 3.17
Sb (0.5880, 0.2627, 0.2186)  6 Cd 2.95-3.14, 1 Hg 3.17
Sb (0.2627, 0.9306, 0.2186)  6 Cd 2.95-3.14, 1 Hg 3.17
Sb (0.0694, 0.4120, 0.7814)  6 Cd 2.95-3.14, 1 Hg 3.17

---

Entry 5:
Material: Ca2LaSe4
Method: DFT, PBE
State: optimized geometry

Results
**E**: -5.01 eV per atom
**Size of the total moment**: 0.50 μB/f.u.
**Calculated density**: 4.47 g/cm³
**N(E_F)**: 6.63 states/eV/cell
**Calculated volume**: 397.1 Å³/cell
**Symmetry**: Cmcm, No. 63

Cell: 4.2395 7.4665 13.0818 Å, 90.00 90.00 106.49°
With the nearest neighbours (Å) after each atom.
Sites, in units of the cell vectors:
Ca (0.1279, 0.2558, 0.4367)  6 Se 2.81-3.05
Ca (0.8721, 0.7442, 0.9367)  6 Se 2.81-3.05
Ca (0.1279, 0.2558, 0.0633)  6 Se 2.81-3.05
Ca (0.8721, 0.7442, 0.5633)  6 Se 2.81-3.05
La (0.6086, 0.2172, 0.7500)  6 Se 2.91-3.16
La (0.3914, 0.7828, 0.2500)  6 Se 2.91-3.16
Se (0.7677, 0.5353, 0.1331)  3 Ca 2.97-3.05, 1 Se 3.06, 2 La 3.16
Se (0.7677, 0.5353, 0.3669)  3 Ca 2.97-3.05, 1 Se 3.06, 2 La 3.16
Se (0.2323, 0.4647, 0.8669)  3 Ca 2.97-3.05, 1 Se 3.06, 2 La 3.16
Se (0.2323, 0.4647, 0.6331)  3 Ca 2.97-3.05, 1 Se 3.06, 2 La 3.16
Se (0.9694, 0.9389, 0.7500)  2 Ca 2.81, 2 La 2.91
Se (0.0306, 0.0611, 0.2500)  2 Ca 2.81, 2 La 2.91
Se (0.5000, 0.0000, 0.0000)  4 Ca 2.92
Se (0.5000, 0.0000, 0.5000)  4 Ca 2.92

---

Entry 6:
Material: KFeN2
Method: DFT, PBE
State: optimized geometry

Results
**E**: -5.34 eV per atom
**Size of the total moment**: 0.00 μB/f.u.
**Calculated density**: 2.98 g/cm³
**N(E_F)**: 16.00 states/eV/cell
**Calculated volume**: 68.6 Å³/cell
**Symmetry**: R-3m, No. 166

Cell: 7.4621 7.4621 7.4621 Å, 25.66 25.66 25.66°
With the nearest neighbours (Å) after each atom.
Sites, in units of the cell vectors:
K (0.5000, 0.5000, 0.5000)  6 N 2.73
Fe (0.0000, 0.0000, 0.0000)  2 N 1.65
N (0.9236, 0.9236, 0.9236)  1 Fe 1.65
N (0.0764, 0.0764, 0.0764)  1 Fe 1.65